[1]
The following is a DFT calculation (PBE) of crystalline FeHgTeN2 at its relaxed geometry.

Computed properties:
- total DFT energy (no corrections) (eV/cell) = -18.1
- formation energy without anion corrections (eV/atom) = 2.09
- theoretical density (g/cm³) = 5.99
- total moment (μB per atom) = 1.41
- polymorph energy (0 for the lowest one) (eV/atom) = 1.100
- volume (Å³ per cell) = 114.2

Cell lengths 4.1617, 4.1617, 6.5935 Å; angles 90.00, 90.00, 90.00 degrees
Last column: nearest neighbours and their distance in Å.
Sites, in units of the cell vectors:
1 N 0.0000 0.5000 0.0000  2 Hg 2.08
2 Fe 0.5000 0.5000 0.5000  4 Te 2.94
3 N 0.5000 0.0000 0.0000  2 Hg 2.08
4 Te 0.0000 0.0000 0.5000  4 Fe 2.94
5 Hg 0.0000 0.0000 0.0000  4 N 2.08

[2]
The following is a DFT calculation (PBE) of crystalline Tm3In12Ir5 at its relaxed geometry.

Computed properties:
- total DFT energy (no corrections) (eV/cell) = -338.9
- theoretical density (g/cm³) = 8.31
- total moment (μB per atom) = 0.00
- volume (Å³ per cell) = 2274.1

Cell lengths 14.3486, 14.3486, 14.3486 Å; angles 109.47, 109.47, 109.47 degrees
Last column: nearest neighbours and their distance in Å.
Sites, in units of the cell vectors:
1 Ir 0.2500 0.8750 0.1250  4 In 2.58
2 Ir 0.7500 0.6250 0.3750  4 In 2.58
3 In 0.8205 0.9299 0.0272  2 Ir 2.58-2.65
4 Ir 0.1250 0.3750 0.2500  4 In 2.58
5 Ir 0.0000 0.0000 0.5000  6 In 2.65
6 Ir 0.7500 0.1250 0.8750  4 In 2.58
7 In 0.4299 0.4027 0.6094  2 Ir 2.58-2.65
8 In 0.0973 0.7066 0.5272  2 Ir 2.58-2.65
9 Tm 0.6250 0.2500 0.3750  4 In 3.09
10 In 0.5272 0.3205 0.9299  2 Ir 2.58-2.65
11 In 0.4728 0.7934 0.9027  2 Ir 2.58-2.65
12 In 0.2934 0.3906 0.8205  2 Ir 2.58-2.65
13 In 0.9299 0.8205 0.5272  2 Ir 2.58-2.65
14 In 0.0973 0.3906 0.0701  2 Ir 2.58-2.65
15 Tm 0.3750 0.7500 0.6250  4 In 3.09
16 Ir 0.5000 0.0000 0.5000  6 In 2.65
17 In 0.0272 0.4299 0.8205  2 Ir 2.58-2.65
18 In 0.7066 0.0973 0.0272  2 Ir 2.58-2.65
19 In 0.5272 0.2066 0.0973  2 Ir 2.58-2.65
20 In 0.1094 0.1795 0.2066  2 Ir 2.58-2.65
21 In 0.7066 0.6094 0.1795  2 Ir 2.58-2.65
22 In 0.5973 0.0272 0.2066  2 Ir 2.58-2.65
23 In 0.1795 0.1094 0.7066  2 Ir 2.58-2.65
24 Ir 0.1250 0.7500 0.3750  4 In 2.58
25 Ir 0.3750 0.1250 0.7500  4 In 2.58
26 Tm 0.6250 0.3750 0.7500  4 In 3.09
27 Ir 0.0000 0.5000 0.5000  6 In 2.65
28 Tm 0.8750 0.7500 0.1250  4 In 3.09
29 In 0.6094 0.9027 0.4299  2 Ir 2.58-2.65
30 In 0.9027 0.6094 0.9299  2 Ir 2.58-2.65
31 In 0.6795 0.2066 0.6094  2 Ir 2.58-2.65
32 Ir 0.5000 0.5000 0.5000  6 In 2.65
33 In 0.8205 0.8906 0.2934  2 Ir 2.58-2.65
34 In 0.5701 0.9728 0.6795  2 Ir 2.58-2.65
35 In 0.4027 0.9728 0.7934  2 Ir 2.58-2.65
36 In 0.0701 0.1795 0.4728  2 Ir 2.58-2.65
37 In 0.5701 0.5973 0.3906  2 Ir 2.58-2.65
38 Ir 0.8750 0.6250 0.7500  4 In 2.58
39 Ir 0.2500 0.3750 0.6250  4 In 2.58
40 Ir 0.3750 0.2500 0.1250  4 In 2.58
41 In 0.8906 0.8205 0.7934  2 Ir 2.58-2.65
42 In 0.1094 0.9299 0.4027  2 Ir 2.58-2.65
43 In 0.9728 0.5701 0.1795  2 Ir 2.58-2.65
44 In 0.5973 0.5701 0.8906  2 Ir 2.58-2.65
45 In 0.4299 0.0272 0.3205  2 Ir 2.58-2.65
46 Ir 0.8750 0.2500 0.6250  4 In 2.58
47 Tm 0.1250 0.8750 0.7500  4 In 3.09
48 In 0.6094 0.7066 0.6795  2 Ir 2.58-2.65
49 In 0.4027 0.4299 0.1094  2 Ir 2.58-2.65
50 Ir 0.5000 0.5000 0.0000  6 In 2.65
51 Tm 0.7500 0.3750 0.1250  4 In 3.09
52 In 0.9299 0.1094 0.9027  2 Ir 2.58-2.65
53 In 0.2066 0.5272 0.5973  2 Ir 2.58-2.65
54 Tm 0.8750 0.1250 0.2500  4 In 3.09
55 Tm 0.1250 0.2500 0.8750  4 In 3.09
56 In 0.8906 0.0701 0.5973  2 Ir 2.58-2.65
57 Tm 0.2500 0.6250 0.8750  4 In 3.09
58 Ir 0.0000 0.0000 0.0000  6 In 2.65
59 In 0.1795 0.0701 0.9728  2 Ir 2.58-2.65
60 In 0.7934 0.4728 0.4027  2 Ir 2.58-2.65
61 Tm 0.3750 0.6250 0.2500  4 In 3.09
62 In 0.6795 0.4728 0.5701  2 Ir 2.58-2.65
63 In 0.3906 0.0973 0.5701  2 Ir 2.58-2.65
64 In 0.3205 0.7934 0.3906  2 Ir 2.58-2.65
65 In 0.4728 0.6795 0.0701  2 Ir 2.58-2.65
66 Ir 0.6250 0.8750 0.2500  4 In 2.58
67 In 0.2066 0.6795 0.1094  2 Ir 2.58-2.65
68 Tm 0.7500 0.8750 0.6250  4 In 3.09
69 Ir 0.6250 0.7500 0.8750  4 In 2.58
70 In 0.9728 0.4027 0.2934  2 Ir 2.58-2.65
71 In 0.7934 0.3205 0.8906  2 Ir 2.58-2.65
72 Tm 0.2500 0.1250 0.3750  4 In 3.09
73 In 0.0272 0.5973 0.7066  2 Ir 2.58-2.65
74 In 0.9027 0.2934 0.4728  2 Ir 2.58-2.65
75 In 0.3205 0.5272 0.4299  2 Ir 2.58-2.65
76 In 0.0701 0.8906 0.0973  2 Ir 2.58-2.65
77 In 0.2934 0.9027 0.9728  2 Ir 2.58-2.65
78 Ir 0.0000 0.5000 0.0000  6 In 2.65
79 In 0.3906 0.2934 0.3205  2 Ir 2.58-2.65
80 Ir 0.5000 0.0000 0.0000  6 In 2.65

[3]
The following is a DFT calculation (PBE) of crystalline Hf2Zr3O at its relaxed geometry.

Computed properties:
- total DFT energy (no corrections) (eV/cell) = -107.8
- formation energy without anion corrections (eV/atom) = -0.56
- theoretical density (g/cm³) = 9.03
- total moment (μB per atom) = 0.00
- volume (Å³ per cell) = 237.8

Cell lengths 5.8173, 5.8173, 10.3377 Å; angles 55.60, 55.60, 73.68 degrees
Last column: nearest neighbours and their distance in Å.
Sites, in units of the cell vectors:
1 Hf 0.7925 0.5151 0.3415  1 O 2.22
2 Zr 0.0931 0.2062 0.0433  2 O 2.40-2.57
3 Zr 0.7938 0.9069 0.4567  2 O 2.40-2.57
4 Hf 0.4849 0.2075 0.1585  1 O 2.22
5 O 0.3223 0.6777 0.7500  2 Hf 2.22, 2 Zr 2.40
6 Zr 0.3154 0.6846 0.2500  1 O 2.53
7 Zr 0.9069 0.7938 0.9567  2 O 2.40-2.57
8 O 0.6777 0.3223 0.2500  2 Hf 2.22, 2 Zr 2.40
9 Hf 0.2075 0.4849 0.6585  1 O 2.22
10 Zr 0.6846 0.3154 0.7500  1 O 2.53
11 Hf 0.5151 0.7925 0.8415  1 O 2.22
12 Zr 0.2062 0.0931 0.5433  2 O 2.40-2.57

[4]
The following is a DFT calculation (PBE) of crystalline RbPuTe at its relaxed geometry.

Computed properties:
- total DFT energy (no corrections) (eV/cell) = -38.5
- formation energy without anion corrections (eV/atom) = -0.27
- theoretical density (g/cm³) = 7.49
- total moment (μB per atom) = 0.00
- polymorph energy (0 for the lowest one) (eV/atom) = 0.030
- volume (Å³ per cell) = 202.5

Cell lengths 3.9597, 3.9597, 15.0894 Å; angles 82.46, 82.46, 60.00 degrees
Last column: nearest neighbours and their distance in Å.
Sites, in units of the cell vectors:
1 Pu 0.3434 0.3434 0.9699  3 Pu 2.46
2 Rb 0.1171 0.1171 0.6488  3 Te 3.53
3 Te 0.2763 0.2763 0.1712  4 Pu 3.00-3.11
4 Rb 0.8829 0.8829 0.3512  3 Te 3.53
5 Te 0.7237 0.7237 0.8288  4 Pu 3.00-3.11
6 Pu 0.6566 0.6566 0.0301  3 Pu 2.46

[5]
The following is a DFT calculation (PBE) of crystalline BaCl at its relaxed geometry.

Computed properties:
- total DFT energy (no corrections) (eV/cell) = -14.6
- formation energy without anion corrections (eV/atom) = -1.75
- theoretical density (g/cm³) = 3.03
- total moment (μB per atom) = 0.00
- volume (Å³ per cell) = 189.2

Cell lengths 5.1075, 5.0930, 8.9225 Å; angles 73.16, 73.31, 59.83 degrees
Last column: nearest neighbours and their distance in Å.
Sites, in units of the cell vectors:
1 Cl 0.3760 0.3794 0.8698  4 Ba 3.15-3.31
2 Cl 0.6240 0.6206 0.1302  4 Ba 3.15-3.31
3 Ba 0.7539 0.7564 0.7367  4 Cl 3.15-3.31
4 Ba 0.2461 0.2436 0.2633  4 Cl 3.15-3.31

[6]
The following is a DFT calculation (PBE) of crystalline Li2Mg5In4 at its relaxed geometry.

Computed properties:
- total DFT energy (no corrections) (eV/cell) = -23.2
- theoretical density (g/cm³) = 3.78
- total moment (μB per atom) = 0.00
- polymorph energy (0 for the lowest one) (eV/atom) = 0.059
- volume (Å³ per cell) = 261.3

Cell lengths 3.4626, 7.6989, 10.6706 Å; angles 111.15, 99.34, 90.00 degrees
Last column: nearest neighbours and their distance in Å.
Sites, in units of the cell vectors:
1 Mg 0.5000 0.0000 0.0000  4 In 2.90
2 Mg 0.1498 0.3627 0.2996  4 In 2.92-3.19, 2 Li 3.07
3 Mg 0.8502 0.0631 0.7004  4 In 2.92-3.19, 2 Li 3.07
4 Mg 0.1498 0.9369 0.2996  4 In 2.92-3.19, 2 Li 3.07
5 Mg 0.8502 0.6373 0.7004  4 In 2.92-3.19, 2 Li 3.07
6 In 0.2731 0.2731 0.5463  1 Li 2.75, 2 Mg 2.92
7 Li 0.4134 0.4134 0.8269  5 In 2.75-2.86, 4 Mg 3.07
8 Li 0.5866 0.5866 0.1731  5 In 2.75-2.86, 4 Mg 3.07
9 In 0.7269 0.7269 0.4537  1 Li 2.75, 2 Mg 2.92
10 In 0.0000 0.3027 0.0000  4 Li 2.86, 4 Mg 2.90-3.02, 1 In 3.04
11 In 0.0000 0.6973 0.0000  4 Li 2.86, 4 Mg 2.90-3.02, 1 In 3.04